## HfTc3C (PBE)

Data for a relaxed HfTc3C crystal.

The value obtained for the total magnetization is 0.000 μB/f.u. For the formation energy, the calculation gives -0.19 eV/atom. The total energy comes out at -10.243 eV per atom. The value obtained for the excess energy over the best structure of this formula in the dataset is 0.00 eV/f.u.

a b c (Å): 4.1394 4.1394 4.1394
angles (deg): 90.00 90.00 90.00
With the nearest neighbours (Å) after each atom.
Space group Pm-3m (No. 221)
Inequivalent atoms, fractional coordinates:
Hf (0.0000, 0.0000, 0.0000)  12 Tc 2.93
Tc (0.0000, 0.5000, 0.5000)  2 C 2.07
C (0.5000, 0.5000, 0.5000)  6 Tc 2.07